Compound: KPd2Pb2
Source: the Alexandria database
Functional: PBE
Structure: relaxed

abc: 8.465 8.465 3.345
angles: 90.00 90.00 90.00
Fractional coordinates of all 10 atoms:
K (0.500, 0.500, 0.000)
Pb (0.151, 0.651, 0.500)
Pd (0.134, 0.366, 0.000)
Pb (0.849, 0.349, 0.500)
K (0.000, 0.000, 0.000)
Pb (0.349, 0.151, 0.500)
Pd (0.634, 0.134, 0.000)
Pd (0.866, 0.634, 0.000)
Pd (0.366, 0.866, 0.000)
Pb (0.651, 0.849, 0.500)

Output
calculated volume	120	Å³/f.u.
E above lowest polymorph	86.3	meV/atom
E	-39.569	eV/cell
space-group type	P4/mbm
energy relative to the elements	-177	meV/atom